No. 1
A plane-wave DFT calculation with GGA-PBE was carried out for a relaxed structure of CrMoW.

Unit cell a=4.345 b=4.345 c=2.697 alpha=90.00 beta=90.00 gamma=120.00
Fractional positions:
1 Cr 0.000 0.000 0.000
2 Mo 0.667 0.333 0.326
3 W 0.333 0.667 0.669

For the energy of formation, the calculation gives 0.0712 eV/atom. For the density of states at the Fermi level, the calculation gives 0.6370 states/eV/atom. The space group is P3m1.

***

No. 2
A plane-wave DFT calculation with GGA-PBE was carried out for a relaxed structure of CrMoW.

Unit cell a=5.108 b=5.108 c=5.108 alpha=144.88 beta=144.88 gamma=50.51
Fractional positions:
1 Cr 0.000 0.000 0.000
2 Mo 0.662 0.662 0.000
3 W 0.338 0.338 0.000

For the energy of formation, the calculation gives 0.0548 eV/atom. For the density of states at the Fermi level, the calculation gives 0.6823 states/eV/atom. The space group is I4mm.